1.
# Ba2AlFeP

A geometry-optimized Ba2AlFeP structure (PBE, the Alexandria database).

As for the formation energy: 426 meV/atom. The calculated total energy is -3.87 eV per atom. The size of the total moment comes out at 2.7 μB per formula unit. The symmetry is P4/mmm. The value obtained for the density of states at the Fermi level is 6.97 states/eV per cell.

```
5
Lattice="-2.9125 -2.1956 -5.0048 -1.0788 -3.7794 2.2858 -5.2640 2.6517 1.9000" Properties=species:S:1:pos:R:3 pbc="T T T"
Fe -0.5394 -1.8897 1.1429
P -4.6277 -1.6616 -0.4095
Ba -2.6320 1.3259 0.9500
Ba -1.4563 -1.0978 -2.5024
Al 0.0000 0.0000 0.0000
```

2.
# BaAlFe2P

A geometry-optimized BaAlFe2P structure (PBE, the Alexandria database).

As for the formation energy: 2270 meV/atom. The calculated total energy is -3.33 eV per atom. The size of the total moment comes out at 4.9 μB per formula unit. The symmetry is P4/mmm. The value obtained for the density of states at the Fermi level is 6.19 states/eV per cell.

```
5
Lattice="4.9419 0.0000 0.0000 0.0000 5.7154 0.0000 0.0000 0.0000 4.9419" Properties=species:S:1:pos:R:3 pbc="T T T"
P 2.4709 2.8577 2.4709
Al 0.0000 2.8577 0.0000
Fe 2.4709 0.0000 0.0000
Fe 0.0000 0.0000 2.4709
Ba 0.0000 0.0000 0.0000
```

3.
# BaAlFe2Te

A geometry-optimized BaAlFe2Te structure (PBE, the Alexandria database).

The calculated total energy is -4.45 eV per atom. The size of the total moment comes out at 4.1 μB per formula unit. The symmetry is P4/mmm. The value obtained for the density of states at the Fermi level is 7.89 states/eV per cell. The formation energy (no corrections) comes out at 0.70 eV per atom.

```
5
Lattice="4.8710 0.0000 0.0000 0.0000 5.8083 0.0000 0.0000 0.0000 4.8710" Properties=species:S:1:pos:R:3 pbc="T T T"
Fe 2.4355 0.0000 0.0000
Fe 0.0000 0.0000 2.4355
Ba 2.4355 2.9041 2.4355
Al 0.0000 2.9041 0.0000
Te 0.0000 0.0000 0.0000
```

4.
# BaAl2FeTe

A geometry-optimized BaAl2FeTe structure (PBE, the Alexandria database).

The calculated total energy is -4.42 eV per atom. The size of the total moment comes out at 1.2 μB per formula unit. The symmetry is P4/mmm. The value obtained for the density of states at the Fermi level is 5.28 states/eV per cell. The formation energy (no corrections) comes out at -0.22 eV per atom.

```
5
Lattice="-3.5742 -1.6006 2.6789 3.5090 -3.4365 2.6284 0.8974 3.3739 3.2132" Properties=species:S:1:pos:R:3 pbc="T T T"
Ba 0.4161 -0.8316 4.2602
Te 1.7545 -1.7183 1.3142
Al 0.4487 1.6870 1.6066
Al -1.7871 -0.8003 1.3395
Fe 0.0000 0.0000 0.0000
```

Question: The highest size of the total moment belongs to which entry?
Answer: BaAlFe2P